DFT (GGA-PBE) results for MnInS2 after structural relaxation.

Summary:
Formation energy without anion corrections (eV/atom): -0.203
Total moment (μB per cell): 4.01
Density (Mg/m³): 4.047

Lattice parameters (Å, degrees): 7.7266 7.7266 7.7266 29.01 29.01 29.01
Each line ends with the local moment (μB).
Fractional coordinates of all 4 atoms:
S (0.1015, 0.1015, 0.1015)  -0.02
S (0.8985, 0.8985, 0.8985)  -0.02
In (0.5000, 0.5000, 0.5000)  -0.04
Mn (0.0000, 0.0000, 0.0000)  3.88

DFT (GGA-PBE) results for ScMnInS4 after structural relaxation.

Summary:
Formation energy without anion corrections (eV/atom): -1.035
Total moment (μB per cell): 9.61
Density (Mg/m³): 3.709

Lattice parameters (Å, degrees): 7.5084 7.5859 7.5859 60.02 60.34 60.34
Each line ends with the local moment (μB).
Fractional coordinates of all 14 atoms:
S (0.7600, 0.7668, 0.7132)  0.04
S (0.7573, 0.7582, 0.2582)  0.03
S (0.2400, 0.2332, 0.2868)  0.04
S (0.2263, 0.7582, 0.2582)  0.03
S (0.7737, 0.2418, 0.7418)  0.03
S (0.2400, 0.7868, 0.7332)  0.04
S (0.7600, 0.2132, 0.2668)  0.04
S (0.2427, 0.2418, 0.7418)  0.03
Sc (0.0000, 0.0000, 0.0000)  0.03
Sc (0.0000, 0.5000, 0.5000)  0.03
Mn (0.5000, 0.0000, 0.5000)  4.19
Mn (0.0000, 0.0000, 0.5000)  4.19
In (0.3656, 0.3844, 0.8844)  0.04
In (0.6344, 0.6156, 0.1156)  0.04

DFT (GGA-PBE) results for ScMnInS3 after structural relaxation.

Summary:
Formation energy without anion corrections (eV/atom): -1.023
Total moment (μB per cell): 9.69
Density (Mg/m³): 3.913

Lattice parameters (Å, degrees): 3.7920 7.0816 10.1980 90.00 90.00 105.53
Each line ends with the local moment (μB).
Fractional coordinates of all 12 atoms:
S (0.3717, 0.7433, 0.9625)  0.05
S (0.9548, 0.9096, 0.2500)  0.08
S (0.6283, 0.2567, 0.0375)  0.05
S (0.0452, 0.0904, 0.7500)  0.08
S (0.3717, 0.7433, 0.5375)  0.05
S (0.6283, 0.2567, 0.4625)  0.05
In (0.2727, 0.5454, 0.2500)  0.04
In (0.7273, 0.4546, 0.7500)  0.04
Sc (0.0000, 0.0000, 0.0000)  0.07
Sc (0.0000, 0.0000, 0.5000)  0.07
Mn (0.5682, 0.1364, 0.2500)  3.94
Mn (0.4318, 0.8636, 0.7500)  3.94

DFT (GGA-PBE) results for MnInSeS after structural relaxation.

Summary:
Formation energy without anion corrections (eV/atom): -0.365
Total moment (μB per cell): 4.06
Density (Mg/m³): 4.574

Lattice parameters (Å, degrees): 4.1301 4.1301 7.6046 82.86 112.75 121.13
Each line ends with the local moment (μB).
Fractional coordinates of all 4 atoms:
Mn (0.1637, 0.5090, 0.6728)  4.04
In (0.2844, 0.9481, 0.2325)  -0.13
S (0.4262, 0.1683, 0.5945)  -0.03
Se (0.4548, 0.5753, 0.0301)  -0.10